The following is a DFT calculation (PBE) of crystalline PmNdRu2 at its relaxed geometry.

Calculated values
**M_tot**: 0.000 μB/f.u.
**Energy relative to the elements**: -0.34 eV per formula unit
**Space-group type**: Fm-3m (225)
**Energy relative to the lowest polymorph listed for this composition**: 0.01 eV/f.u.
**D(E_F)**: 2.8 states/eV/f.u.

a = 4.9479 Å, b = 4.9479 Å, c = 4.9479 Å
α = 60.00°, β = 60.00°, γ = 60.00°
Closest atoms and distances in Å follow each position.
Element x y z (fractional)
1 Nd 0.5000 0.5000 0.5000  8 Ru 3.03
2 Pm 0.0000 0.0000 0.0000  8 Ru 3.03
3 Ru 0.2500 0.2500 0.2500  4 Nd 3.03, 4 Pm 3.03
4 Ru 0.7500 0.7500 0.7500  4 Nd 3.03, 4 Pm 3.03